# GeTe2As (PBE, relaxed)
# - Symmetry: No. 166
# - Formation energy from raw total energies: 0.318 eV per atom
# - Energy above the most stable polymorph in this dataset: 284.4 meV/atom
# - Total moment: 0.0 Bohr magnetons per cell
data_GeTe2As
_symmetry_space_group_name_H-M 'P 1'
_symmetry_Int_Tables_number 1
_cell_length_a 9.173
_cell_length_b 9.173
_cell_length_c 9.173
_cell_angle_alpha 25.08
_cell_angle_beta 25.08
_cell_angle_gamma 25.08
loop_
_symmetry_equiv_pos_as_xyz
'x,y,z'
loop_
_atom_site_label
_atom_site_fract_x
_atom_site_fract_y
_atom_site_fract_z
Ge1 0.000 0.000 0.000
Te1 0.398 0.398 0.398
Te2 0.602 0.602 0.602
As1 0.500 0.500 0.500